(1)
Computed, not measured: Y2TmI after structural relaxation at the PBE level of DFT.

Summary:
Final energy, eV per cell: -20.1
Total moment, μB per cell: 0.00
Energy relative to the lowest polymorph listed for this composition, kJ per mole of atoms: 7.8

Cell lengths 3.634, 3.634, 9.455 Å; angles 90.00, 90.00, 90.00 degrees
Fractional positions:
I 0.500 0.500 0.000
Y 0.000 0.000 0.753
Y 0.000 0.000 0.247
Tm 0.500 0.500 0.500

=====

(2)
Computed, not measured: YTmI6 after structural relaxation at the PBE level of DFT.

Summary:
Final energy, eV per cell: -30.8
Total moment, μB per cell: 0.00

Cell lengths 7.590, 7.590, 8.128 Å; angles 62.15, 62.16, 60.00 degrees
Fractional positions:
Y 0.000 0.000 0.000
Tm 0.500 0.500 0.500
I 0.093 0.411 0.748
I 0.748 0.093 0.749
I 0.589 0.252 0.252
I 0.252 0.907 0.251
I 0.907 0.589 0.252
I 0.411 0.748 0.748